1.
Material: NdFe5P3
Method: DFT, PBE
State: relaxed

Formation energy from the elements: -666.3 meV/atom
Total DFT energy (no corrections): -7.701 eV/atom

Cell: 3.7374 6.2386 10.8498 Å, 90.00 90.00 107.43°
Element x y z (fractional)
1 Nd 0.8244 0.6488 0.7500
2 Nd 0.1756 0.3512 0.2500
3 Fe 0.8104 0.6207 0.4376
4 Fe 0.1896 0.3793 0.9376
5 Fe 0.0000 0.0000 0.5000
6 Fe 0.0000 0.0000 0.0000
7 Fe 0.4598 0.9195 0.1395
8 Fe 0.5402 0.0805 0.8605
9 Fe 0.5402 0.0805 0.6395
10 Fe 0.8104 0.6207 0.0624
11 Fe 0.1896 0.3793 0.5624
12 Fe 0.4598 0.9195 0.3605
13 P 0.3695 0.7390 0.9583
14 P 0.8946 0.7892 0.2500
15 P 0.3695 0.7390 0.5417
16 P 0.6305 0.2610 0.4583
17 P 0.1054 0.2108 0.7500
18 P 0.6305 0.2610 0.0417


2.
Material: DyInRhAu
Method: DFT, PBE
State: relaxed

Formation energy from the elements: -623.2 meV/atom
Total DFT energy (no corrections): -5.116 eV/atom

Cell: 4.8297 4.8297 4.8297 Å, 60.00 60.00 60.00°
Element x y z (fractional)
1 Rh 0.5000 0.5000 0.5000
2 In 0.2500 0.2500 0.2500
3 Au 0.0000 0.0000 0.0000
4 Dy 0.7500 0.7500 0.7500


3.
Material: Ta3InB
Method: DFT, PBE
State: relaxed

Formation energy from the elements: 3037.7 meV/atom
E above lowest polymorph: 3010 meV/atom
Total DFT energy (no corrections): -5.957 eV/atom

Cell: 4.9724 4.9724 4.9724 Å, 90.00 90.00 90.00°
Element x y z (fractional)
1 B 0.5000 0.5000 0.5000
2 In 0.0000 0.0000 0.0000
3 Ta 0.0000 0.5000 0.0000
4 Ta 0.0000 0.0000 0.5000
5 Ta 0.5000 0.0000 0.0000


4.
Material: BaPuSb
Method: DFT, PBE
State: relaxed

Raw formation energy: -317 meV/atom
Total DFT energy (no corrections): -7.110 eV/atom

Cell: 4.6693 5.3379 5.3379 Å, 120.00 90.00 90.00°
Element x y z (fractional)
1 Sb 0.1665 0.0000 0.0000
2 Ba 0.6667 0.6667 0.3333
3 Pu 0.1668 0.3333 0.6667


5.
Material: Ac2Hg2Rh2Pb5
Method: DFT, PBE
State: relaxed

Formation energy from the elements: -104.1 meV/atom
Total DFT energy (no corrections): -3.928 eV/atom

Cell: 5.0677 5.0677 15.3271 Å, 99.52 99.52 90.00°
Element x y z (fractional)
1 Ac 0.1982 0.1982 0.3965
2 Ac 0.8018 0.8018 0.6035
3 Hg 0.3116 0.3116 0.6233
4 Hg 0.6884 0.6884 0.3767
5 Rh 0.0851 0.0851 0.1702
6 Rh 0.9149 0.9149 0.8298
7 Pb 0.0000 0.0000 0.0000
8 Pb 0.6144 0.1144 0.2288
9 Pb 0.8856 0.3856 0.7712
10 Pb 0.1144 0.6144 0.2288
11 Pb 0.3856 0.8856 0.7712


6.
Material: ZrSbPb
Method: DFT, PBE
State: relaxed

Raw formation energy: 117 meV/atom
E above lowest polymorph: 425 meV/atom
Total DFT energy (no corrections): -5.343 eV/atom

Cell: 5.0133 5.0133 5.0133 Å, 60.00 60.00 60.00°
Element x y z (fractional)
1 Pb 0.0000 0.0000 0.0000
2 Sb 0.5000 0.5000 0.5000
3 Zr 0.7500 0.7500 0.7500


Repeat the sixth record exactly.
Material: ZrSbPb
Method: DFT, PBE
State: relaxed

Raw formation energy: 117 meV/atom
E above lowest polymorph: 425 meV/atom
Total DFT energy (no corrections): -5.343 eV/atom

Cell: 5.0133 5.0133 5.0133 Å, 60.00 60.00 60.00°
Element x y z (fractional)
1 Pb 0.0000 0.0000 0.0000
2 Sb 0.5000 0.5000 0.5000
3 Zr 0.7500 0.7500 0.7500


Repeat the fifth record exactly.
Material: Ac2Hg2Rh2Pb5
Method: DFT, PBE
State: relaxed

Formation energy from the elements: -104.1 meV/atom
Total DFT energy (no corrections): -3.928 eV/atom

Cell: 5.0677 5.0677 15.3271 Å, 99.52 99.52 90.00°
Element x y z (fractional)
1 Ac 0.1982 0.1982 0.3965
2 Ac 0.8018 0.8018 0.6035
3 Hg 0.3116 0.3116 0.6233
4 Hg 0.6884 0.6884 0.3767
5 Rh 0.0851 0.0851 0.1702
6 Rh 0.9149 0.9149 0.8298
7 Pb 0.0000 0.0000 0.0000
8 Pb 0.6144 0.1144 0.2288
9 Pb 0.8856 0.3856 0.7712
10 Pb 0.1144 0.6144 0.2288
11 Pb 0.3856 0.8856 0.7712


> The lowest total DFT energy (no corrections) belongs to which entry?

NdFe5P3


> What is the total DFT energy (no corrections) in the fourth record?

-7.110 eV/atom